[1]
! PBE ZrTiVRu, relaxed; values from VASP
&SYSTEM
  ibrav = 0, nat = 4, ntyp = 4
/
ATOMIC_SPECIES
Ru 101.07 Ru.upf
Ti 47.87 Ti.upf
Zr 91.22 Zr.upf
V 50.94 V.upf
CELL_PARAMETERS angstrom
-2.932 2.297 -2.604
-3.786 1.730 1.824
-0.436 4.497 0.491
ATOMIC_POSITIONS angstrom
Ru 0.000 0.000 0.000
Ti -1.788 2.131 -0.072
Zr -5.365 6.393 -0.217
V -3.577 4.262 -0.145
! - E_tot: -35.8 eV for the cell shown

=====

[2]
! PBE TiRu2W2, relaxed; values from VASP
&SYSTEM
  ibrav = 0, nat = 5, ntyp = 3
/
ATOMIC_SPECIES
Ru 101.07 Ru.upf
W 183.84 W.upf
Ti 47.87 Ti.upf
CELL_PARAMETERS angstrom
4.065 0.000 0.000
0.000 4.065 0.000
2.032 2.032 5.467
ATOMIC_POSITIONS angstrom
Ru 4.065 2.032 2.733
Ru 2.032 4.065 2.733
W 2.032 2.032 1.278
W 4.065 4.065 4.188
Ti 0.000 0.000 0.000
! - Offset from the most stable computed form: 381 meV/atom

=====

[3]
! PBE Ti4Ru3W, relaxed; values from VASP
&SYSTEM
  ibrav = 0, nat = 8, ntyp = 3
/
ATOMIC_SPECIES
Ru 101.07 Ru.upf
W 183.84 W.upf
Ti 47.87 Ti.upf
CELL_PARAMETERS angstrom
-0.668 1.200 2.771
-3.017 -0.371 -0.567
0.455 -11.462 5.074
ATOMIC_POSITIONS angstrom
Ru -1.726 -2.514 2.398
Ru -1.615 -5.316 3.639
Ru -1.504 -8.119 4.879
W -1.843 0.415 1.102
Ti 0.395 -9.964 4.411
Ti 0.059 -1.498 0.663
Ti 0.171 -4.316 1.911
Ti 0.284 -7.146 3.163
! - E_tot: -76.9 eV for the cell shown

=====

[4]
! PBE Ti3Ru2W, relaxed; values from VASP
&SYSTEM
  ibrav = 0, nat = 6, ntyp = 3
/
ATOMIC_SPECIES
Ti 47.87 Ti.upf
Ru 101.07 Ru.upf
W 183.84 W.upf
CELL_PARAMETERS angstrom
-2.123 0.801 -2.112
0.142 -2.845 -1.222
-6.861 -2.840 5.818
ATOMIC_POSITIONS angstrom
Ti 0.000 0.000 0.000
Ti -4.620 -1.912 3.917
Ti -2.241 -0.928 1.901
Ru -6.741 -3.403 3.210
Ru -2.100 -1.482 -0.726
W -4.421 -2.442 1.242
! - E_tot: -58.2 eV for the cell shown